(1)
Density functional theory data (PBE) for MnTl2P after structural relaxation.

Results
* ΔE to the lowest computed polymorph: 0.273 eV/atom
* DOS at the Fermi energy: 0.20 states/eV/atom
* ΔE_f: 328 meV/atom
* space-group type: No. 122

Cell: 9.978 9.978 7.414 Å, 47.70 47.70 90.00°
Each line ends with the local moment (μB).
Atoms (fractional coordinates):
1 P 0.500 0.500 0.000  -0.06
2 P 0.250 0.750 0.500  -0.06
3 Tl 0.516 0.125 0.250  0.00
4 Tl 0.234 0.625 0.250  0.01
5 Tl 0.375 0.484 0.750  0.00
6 Tl 0.875 0.766 0.750  0.01
7 Mn 0.000 0.000 0.000  3.71
8 Mn 0.750 0.250 0.500  3.71



(2)
Density functional theory data (PBE) for Pr3YTm7 after structural relaxation.

Results
* ΔE to the lowest computed polymorph: 0.053 eV/atom
* DOS at the Fermi energy: 1.53 states/eV/atom
* ΔE_f: 178 meV/atom
* space-group type: No. 156

Cell: 8.664 7.031 7.031 Å, 120.00 90.00 90.00°
Atoms (fractional coordinates):
1 Pr 0.784 0.500 0.500
2 Pr 0.784 0.500 0.001
3 Pr 0.784 0.999 0.500
4 Y 0.443 0.333 0.667
5 Tm 0.122 0.167 0.833
6 Tm 0.122 0.167 0.334
7 Tm 0.124 0.667 0.333
8 Tm 0.443 0.833 0.167
9 Tm 0.443 0.335 0.167
10 Tm 0.443 0.833 0.665
11 Tm 0.122 0.666 0.833



(3)
Density functional theory data (PBE) for YSb2Pt9 after structural relaxation.

Results
* uncorrected formation energy: -0.45 eV per atom
* DOS at the Fermi energy: 0.47 states/eV/atom
* space-group type: No. 123

Cell: 4.105 4.105 12.271 Å, 90.00 90.00 90.00°
Atoms (fractional coordinates):
1 Y 0.000 0.000 0.000
2 Sb 0.000 0.000 0.331
3 Sb 0.000 0.000 0.669
4 Pt 0.500 0.500 0.000
5 Pt 0.500 0.500 0.338
6 Pt 0.500 0.500 0.662
7 Pt 0.500 0.000 0.171
8 Pt 0.500 0.000 0.500
9 Pt 0.500 0.000 0.829
10 Pt 0.000 0.500 0.171
11 Pt 0.000 0.500 0.500
12 Pt 0.000 0.500 0.829



(4)
Density functional theory data (PBE) for Eu2RhI after structural relaxation.

Results
* ΔE to the lowest computed polymorph: 0.000 eV/atom
* uncorrected formation energy: -0.81 eV per atom
* DOS at the Fermi energy: 4.12 states/eV/atom
* space-group type: No. 166

Cell: 4.255 4.255 8.358 Å, 75.25 75.25 60.00°
Each line ends with the local moment (μB).
Atoms (fractional coordinates):
1 Eu 0.732 0.732 0.805  6.82
2 Eu 0.268 0.268 0.195  6.82
3 I 0.500 0.500 0.500  -0.02
4 Rh 0.000 0.000 0.000  -0.27



(5)
Density functional theory data (PBE) for KCd4Ag2Sn after structural relaxation.

Results
* DOS at the Fermi energy: 0.55 states/eV/atom
* ΔE_f: 103 meV/atom
* space-group type: No. 166

Cell: 5.147 5.147 9.051 Å, 73.48 73.48 60.00°
Atoms (fractional coordinates):
1 K 0.000 0.000 0.000
2 Cd 0.381 0.381 0.856
3 Cd 0.870 0.870 0.389
4 Cd 0.130 0.130 0.611
5 Cd 0.619 0.619 0.144
6 Ag 0.745 0.745 0.764
7 Ag 0.255 0.255 0.236
8 Sn 0.500 0.500 0.500